1.
# NbCdPdRuI GGA-PBE optimized geometry
data_NbCdPdRuI
_symmetry_space_group_name_H-M 'P 1'
_symmetry_Int_Tables_number 1
_cell_length_a 7.1219
_cell_length_b 7.1219
_cell_length_c 3.9355
_cell_angle_alpha 105.93
_cell_angle_beta 105.93
_cell_angle_gamma 35.85
loop_
_symmetry_equiv_pos_as_xyz
'x,y,z'
loop_
_atom_site_label
_atom_site_type_symbol
_atom_site_fract_x
_atom_site_fract_y
_atom_site_fract_z
Nb1 Nb 0.0000 0.0000 0.0000
Cd1 Cd 0.5363 0.5363 0.5360
Pd1 Pd 0.3786 0.3786 0.8795
Ru1 Ru 0.8808 0.8808 0.3814
I1 I 0.2257 0.2257 0.2272
# space-group type = No. 8
# energy relative to the lowest polymorph listed for this composition = 0.162 eV per atom
# energy relative to the elements, uncorrected = 0.17 eV per atom

2.
# SiIr3Se GGA-PBE optimized geometry
data_SiIr3Se
_symmetry_space_group_name_H-M 'P 1'
_symmetry_Int_Tables_number 1
_cell_length_a 4.6045
_cell_length_b 4.6045
_cell_length_c 4.6045
_cell_angle_alpha 90.00
_cell_angle_beta 90.00
_cell_angle_gamma 90.00
loop_
_symmetry_equiv_pos_as_xyz
'x,y,z'
loop_
_atom_site_label
_atom_site_type_symbol
_atom_site_fract_x
_atom_site_fract_y
_atom_site_fract_z
Si1 Si 0.0000 0.0000 0.0000
Ir1 Ir 0.0000 0.5000 0.5000
Ir2 Ir 0.5000 0.0000 0.5000
Ir3 Ir 0.5000 0.5000 0.0000
Se1 Se 0.5000 0.5000 0.5000
# space-group type = No. 221
# energy relative to the lowest polymorph listed for this composition = 0.471 eV per atom
# energy relative to the elements, uncorrected = 1.41 eV per atom

3.
# CaMg2GaHg4 GGA-PBE optimized geometry
data_CaMg2GaHg4
_symmetry_space_group_name_H-M 'P 1'
_symmetry_Int_Tables_number 1
_cell_length_a 9.0471
_cell_length_b 9.0471
_cell_length_c 9.0471
_cell_angle_alpha 32.18
_cell_angle_beta 32.18
_cell_angle_gamma 32.18
loop_
_symmetry_equiv_pos_as_xyz
'x,y,z'
loop_
_atom_site_label
_atom_site_type_symbol
_atom_site_fract_x
_atom_site_fract_y
_atom_site_fract_z
Ca1 Ca 0.0000 0.0000 0.0000
Mg1 Mg 0.2460 0.2460 0.2460
Mg2 Mg 0.7540 0.7540 0.7540
Ga1 Ga 0.5000 0.5000 0.5000
Hg1 Hg 0.1260 0.1260 0.1260
Hg2 Hg 0.3806 0.3806 0.3806
Hg3 Hg 0.6194 0.6194 0.6194
Hg4 Hg 0.8740 0.8740 0.8740
# DFT formation energy = -245 meV per atom
# space-group type = No. 166

4.
# ScCuOs2 GGA-PBE optimized geometry
data_ScCuOs2
_symmetry_space_group_name_H-M 'P 1'
_symmetry_Int_Tables_number 1
_cell_length_a 4.9914
_cell_length_b 4.9914
_cell_length_c 4.9914
_cell_angle_alpha 135.13
_cell_angle_beta 135.13
_cell_angle_gamma 65.33
loop_
_symmetry_equiv_pos_as_xyz
'x,y,z'
loop_
_atom_site_label
_atom_site_type_symbol
_atom_site_fract_x
_atom_site_fract_y
_atom_site_fract_z
Sc1 Sc 0.0000 0.0000 0.0000
Cu1 Cu 0.5000 0.5000 0.0000
Os1 Os 0.2500 0.7500 0.5000
Os2 Os 0.7500 0.2500 0.5000
# DFT formation energy = 163 meV per atom
# space-group type = No. 139
# energy relative to the lowest polymorph listed for this composition = 0.188 eV per atom

5.
# Nd3Th GGA-PBE optimized geometry
data_Nd3Th
_symmetry_space_group_name_H-M 'P 1'
_symmetry_Int_Tables_number 1
_cell_length_a 7.0280
_cell_length_b 7.0280
_cell_length_c 7.0280
_cell_angle_alpha 150.05
_cell_angle_beta 62.71
_cell_angle_gamma 126.30
loop_
_symmetry_equiv_pos_as_xyz
'x,y,z'
loop_
_atom_site_label
_atom_site_type_symbol
_atom_site_fract_x
_atom_site_fract_y
_atom_site_fract_z
Nd1 Nd 0.0000 0.0000 0.0000
Nd2 Nd 0.0758 0.3234 0.7524
Nd3 Nd 0.5711 0.3234 0.2476
Th1 Th 0.4924 0.9924 0.5000
# DFT formation energy = 73 meV per atom
# space-group type = No. 44
# energy relative to the lowest polymorph listed for this composition = 0.042 eV per atom

6.
# BaCd2Cl2 GGA-PBE optimized geometry
data_BaCd2Cl2
_symmetry_space_group_name_H-M 'P 1'
_symmetry_Int_Tables_number 1
_cell_length_a 8.5108
_cell_length_b 8.5108
_cell_length_c 4.6213
_cell_angle_alpha 90.00
_cell_angle_beta 90.00
_cell_angle_gamma 90.00
loop_
_symmetry_equiv_pos_as_xyz
'x,y,z'
loop_
_atom_site_label
_atom_site_type_symbol
_atom_site_fract_x
_atom_site_fract_y
_atom_site_fract_z
Ba1 Ba 0.0000 0.0000 0.0000
Ba2 Ba 0.5000 0.5000 0.0000
Cd1 Cd 0.1156 0.3844 0.0000
Cd2 Cd 0.3844 0.8844 0.0000
Cd3 Cd 0.6156 0.1156 0.0000
Cd4 Cd 0.8844 0.6156 0.0000
Cl1 Cl 0.1970 0.6970 0.5000
Cl2 Cl 0.3030 0.1970 0.5000
Cl3 Cl 0.6970 0.8030 0.5000
Cl4 Cl 0.8030 0.3030 0.5000
# space-group type = No. 127
# energy relative to the lowest polymorph listed for this composition = 0.037 eV per atom
# energy relative to the elements, uncorrected = -0.80 eV per atom

7.
# La3CrS GGA-PBE optimized geometry
data_La3CrS
_symmetry_space_group_name_H-M 'P 1'
_symmetry_Int_Tables_number 1
_cell_length_a 5.1861
_cell_length_b 5.1861
_cell_length_c 5.1861
_cell_angle_alpha 90.00
_cell_angle_beta 90.00
_cell_angle_gamma 90.00
loop_
_symmetry_equiv_pos_as_xyz
'x,y,z'
loop_
_atom_site_label
_atom_site_type_symbol
_atom_site_fract_x
_atom_site_fract_y
_atom_site_fract_z
La1 La 0.0000 0.0000 0.5000
La2 La 0.0000 0.5000 0.0000
La3 La 0.5000 0.0000 0.0000
Cr1 Cr 0.0000 0.0000 0.0000
S1 S 0.5000 0.5000 0.5000
# space-group type = No. 221
# energy relative to the lowest polymorph listed for this composition = 0.000 eV per atom
# energy relative to the elements, uncorrected = -0.11 eV per atom

8.
# CeSm8Dy3 GGA-PBE optimized geometry
data_CeSm8Dy3
_symmetry_space_group_name_H-M 'P 1'
_symmetry_Int_Tables_number 1
_cell_length_a 8.3915
_cell_length_b 8.3915
_cell_length_c 8.3915
_cell_angle_alpha 117.68
_cell_angle_beta 117.68
_cell_angle_gamma 94.07
loop_
_symmetry_equiv_pos_as_xyz
'x,y,z'
loop_
_atom_site_label
_atom_site_type_symbol
_atom_site_fract_x
_atom_site_fract_y
_atom_site_fract_z
Ce1 Ce 0.0000 0.0000 0.0000
Sm1 Sm 0.1179 0.1179 0.7550
Sm2 Sm 0.2150 0.2150 0.4729
Sm3 Sm 0.2579 0.7850 0.0000
Sm4 Sm 0.3629 0.3629 0.2450
Sm5 Sm 0.6371 0.8821 0.0000
Sm6 Sm 0.7421 0.7421 0.5271
Sm7 Sm 0.7850 0.2579 0.0000
Sm8 Sm 0.8821 0.6371 0.0000
Dy1 Dy 0.2500 0.7500 0.5000
Dy2 Dy 0.5000 0.5000 0.0000
Dy3 Dy 0.7500 0.2500 0.5000
# DFT formation energy = 573 meV per atom
# space-group type = No. 121

9.
# Tl4Cd5Bi6 GGA-PBE optimized geometry
data_Tl4Cd5Bi6
_symmetry_space_group_name_H-M 'P 1'
_symmetry_Int_Tables_number 1
_cell_length_a 11.0706
_cell_length_b 11.0706
_cell_length_c 18.6136
_cell_angle_alpha 90.00
_cell_angle_beta 90.00
_cell_angle_gamma 154.67
loop_
_symmetry_equiv_pos_as_xyz
'x,y,z'
loop_
_atom_site_label
_atom_site_type_symbol
_atom_site_fract_x
_atom_site_fract_y
_atom_site_fract_z
Tl1 Tl 0.0034 0.9966 0.5000
Tl2 Tl 0.0296 0.9704 0.7727
Tl3 Tl 0.1650 0.8350 0.3052
Tl4 Tl 0.1715 0.8285 0.9592
Tl5 Tl 0.8285 0.1715 0.4592
Tl6 Tl 0.8350 0.1650 0.8052
Tl7 Tl 0.9704 0.0296 0.2727
Tl8 Tl 0.9966 0.0034 0.0000
Cd1 Cd 0.1490 0.8510 0.6408
Cd2 Cd 0.2931 0.7069 0.6444
Cd3 Cd 0.3526 0.6474 0.9931
Cd4 Cd 0.3536 0.6464 0.2580
Cd5 Cd 0.4351 0.5649 0.6991
Cd6 Cd 0.5649 0.4351 0.1991
Cd7 Cd 0.6464 0.3536 0.7580
Cd8 Cd 0.6474 0.3526 0.4931
Cd9 Cd 0.7069 0.2931 0.1444
Cd10 Cd 0.8510 0.1490 0.1408
Bi1 Bi 0.1179 0.8821 0.1243
Bi2 Bi 0.2259 0.7741 0.7869
Bi3 Bi 0.2278 0.7722 0.4993
Bi4 Bi 0.4251 0.5749 0.3998
Bi5 Bi 0.4375 0.5625 0.8630
Bi6 Bi 0.4386 0.5614 0.1246
Bi7 Bi 0.5614 0.4386 0.6246
Bi8 Bi 0.5625 0.4375 0.3630
Bi9 Bi 0.5749 0.4251 0.8998
Bi10 Bi 0.7722 0.2278 0.9993
Bi11 Bi 0.7741 0.2259 0.2869
Bi12 Bi 0.8821 0.1179 0.6243
# DFT formation energy = 33 meV per atom
# space-group type = No. 36

10.
# KPaSb2O6 GGA-PBE optimized geometry
data_KPaSb2O6
_symmetry_space_group_name_H-M 'P 1'
_symmetry_Int_Tables_number 1
_cell_length_a 8.7546
_cell_length_b 8.7546
_cell_length_c 7.0115
_cell_angle_alpha 96.31
_cell_angle_beta 96.31
_cell_angle_gamma 127.46
loop_
_symmetry_equiv_pos_as_xyz
'x,y,z'
loop_
_atom_site_label
_atom_site_type_symbol
_atom_site_fract_x
_atom_site_fract_y
_atom_site_fract_z
K1 K 0.1837 0.8163 0.7500
K2 K 0.8163 0.1837 0.2500
Pa1 Pa 0.3200 0.6800 0.2500
Pa2 Pa 0.6800 0.3200 0.7500
Sb1 Sb 0.1910 0.3979 0.8169
Sb2 Sb 0.3979 0.1910 0.3169
Sb3 Sb 0.6021 0.8090 0.6831
Sb4 Sb 0.8090 0.6021 0.1831
O1 O 0.0306 0.5955 0.2479
O2 O 0.1623 0.3737 0.1012
O3 O 0.3132 0.6046 0.5489
O4 O 0.3737 0.1623 0.6012
O5 O 0.3954 0.6868 0.9511
O6 O 0.4045 0.9694 0.2521
O7 O 0.5955 0.0306 0.7479
O8 O 0.6046 0.3132 0.0489
O9 O 0.6263 0.8377 0.3988
O10 O 0.6868 0.3954 0.4511
O11 O 0.8377 0.6263 0.8988
O12 O 0.9694 0.4045 0.7521
# space-group type = No. 15
# energy relative to the elements, uncorrected = -2.16 eV per atom

Values of VASP energy, in order: -26.1 -28.4 -11.4 -32.2 -21.4 -22.9 -29.1 -50.6 -73.7 -140.3, all in eV for the cell shown.